Material: Sr2AlFeO5
Method: DFT, GGA+U
State: optimized geometry

It has space group Cmc2_1 (No. 36), with a = 3.236 Å, b = 14.189 Å, c = 10.512 Å, α = 90.00°, β = 90.00° and γ = 90.00°. The inequivalent atoms are Sr at (0.000, 0.108, 0.000), Sr at (0.000, 0.135, 0.637), Al at (0.000, 0.442, 0.767), Fe at (0.000, 0.216, 0.351), O at (0.000, 0.049, 0.346), O at (0.000, 0.289, 0.975), O at (0.000, 0.317, 0.722), O at (0.000, 0.349, 0.327) and O at (0.000, 0.499, 0.619).

The density of states at the Fermi level comes out at 0.00 states/eV per cell. The value obtained for the total energy is -6.662 eV per atom.